Record 1
# SrMgAu2 PBE-GGA optimized geometry
# Spin magnetization (μB/cell): 0.0
# Formation energy from the elements (eV per formula unit): -1.92
data_SrMgAu2
_cell_length_a 3.929
_cell_length_b 3.929
_cell_length_c 6.562
_cell_angle_alpha 90.00
_cell_angle_beta 90.00
_cell_angle_gamma 90.00
_symmetry_space_group_name_H-M 'P 4 m m'
_symmetry_Int_Tables_number 99
loop_
_symmetry_equiv_pos_as_xyz
'x,y,z'
'-y,x,z'
'-x,-y,z'
'y,-x,z'
'-x,y,z'
'y,x,z'
'x,-y,z'
'-y,-x,z'
loop_
_atom_site_label
_atom_site_fract_x
_atom_site_fract_y
_atom_site_fract_z
Sr1 0.000 0.000 0.000
Mg1 0.500 0.500 0.617
Au1 0.000 0.000 0.520
Au2 0.500 0.500 0.208

Record 2
# PmEuDy4 PBE-GGA optimized geometry
# Spin magnetization (μB/cell): 28.6
# Formation energy from the elements (eV per formula unit): 1.50
data_PmEuDy4
_cell_length_a 9.479
_cell_length_b 9.479
_cell_length_c 9.479
_cell_angle_alpha 90.00
_cell_angle_beta 90.00
_cell_angle_gamma 90.00
_symmetry_space_group_name_H-M 'F -4 3 m'
_symmetry_Int_Tables_number 216
_symmetry_space_group_name_Hall 'F -4 2 3'
loop_
_atom_site_label
_atom_site_fract_x
_atom_site_fract_y
_atom_site_fract_z
Pm1 0.000 0.000 0.000
Eu1 0.250 0.250 0.250
Dy1 0.127 0.127 0.627

Record 3
# InHgCl3 PBE-GGA optimized geometry
# Spin magnetization (μB/cell): 0.0
# Energy relative to the lowest polymorph listed for this composition (eV/atom): 0.1344
data_InHgCl3
_cell_length_a 5.196
_cell_length_b 5.196
_cell_length_c 5.196
_cell_angle_alpha 90.00
_cell_angle_beta 90.00
_cell_angle_gamma 90.00
_symmetry_space_group_name_H-M 'P m -3 m'
_symmetry_Int_Tables_number 221
_symmetry_space_group_name_Hall '-P 4 2 3'
loop_
_atom_site_label
_atom_site_fract_x
_atom_site_fract_y
_atom_site_fract_z
In1 0.000 0.000 0.000
Hg1 0.500 0.500 0.500
Cl1 0.000 0.000 0.500

Record 4
# Mn8Tc3Mo PBE-GGA optimized geometry
# Spin magnetization (μB/cell): 0.0
# Formation energy from the elements (eV per formula unit): -1.03
data_Mn8Tc3Mo
_cell_length_a 4.6688
_cell_length_b 4.6688
_cell_length_c 7.6719
_cell_angle_alpha 90.00
_cell_angle_beta 90.00
_cell_angle_gamma 120.00
_symmetry_space_group_name_H-M 'P 3 m 1'
_symmetry_Int_Tables_number 156
loop_
_symmetry_equiv_pos_as_xyz
'x,y,z'
'-y,x-y,z'
'-x+y,-x,z'
'-y,-x,z'
'-x+y,y,z'
'x,x-y,z'
loop_
_atom_site_label
_atom_site_fract_x
_atom_site_fract_y
_atom_site_fract_z
Mn1 0.0000 0.0000 0.0000
Mn2 0.0000 0.0000 0.4994
Mn3 0.1732 0.3464 0.2504
Mn4 0.3460 0.1730 0.7481
Tc1 0.3333 0.6667 0.5667
Tc2 0.3333 0.6667 0.9296
Tc3 0.6667 0.3333 0.4324
Mo1 0.6667 0.3333 0.0638

Record 5
# VSiN2 PBE-GGA optimized geometry
# Spin magnetization (μB/cell): 11.5
# E_tot (eV for the cell shown): -136.0
data_VSiN2
_cell_length_a 4.562
_cell_length_b 4.562
_cell_length_c 8.225
_cell_angle_alpha 90.00
_cell_angle_beta 90.00
_cell_angle_gamma 90.00
_symmetry_space_group_name_H-M 'I -4 2 d'
_symmetry_Int_Tables_number 122
_symmetry_space_group_name_Hall 'I -4 2bw'
loop_
_atom_site_label
_atom_site_fract_x
_atom_site_fract_y
_atom_site_fract_z
V1 0.000 0.000 0.000
Si1 0.000 0.000 0.500
N1 0.189 0.250 0.625

Record 6
# BaCeCd2Au4 PBE-GGA optimized geometry
# Spin magnetization (μB/cell): 2.6
# Formation energy from the elements (eV per formula unit): -4.35
data_BaCeCd2Au4
_cell_length_a 4.8986
_cell_length_b 4.8986
_cell_length_c 29.3513
_cell_angle_alpha 90.00
_cell_angle_beta 90.00
_cell_angle_gamma 120.00
_symmetry_space_group_name_H-M 'R -3 m'
_symmetry_Int_Tables_number 166
_symmetry_space_group_name_Hall '-R 3 2"'
loop_
_atom_site_label
_atom_site_fract_x
_atom_site_fract_y
_atom_site_fract_z
Ba1 0.0000 0.0000 0.0000
Ce1 0.0000 0.0000 0.5000
Cd1 0.0000 0.0000 0.2390
Au1 0.0000 0.0000 0.1202
Au2 0.0000 0.0000 0.3977

Record 7
# LiSc2AuO PBE-GGA optimized geometry
# Spin magnetization (μB/cell): 0.0
# Energy relative to the lowest polymorph listed for this composition (eV/atom): 0.0000
data_LiSc2AuO
_cell_length_a 4.420
_cell_length_b 4.420
_cell_length_c 3.916
_cell_angle_alpha 90.00
_cell_angle_beta 90.00
_cell_angle_gamma 90.00
_symmetry_space_group_name_H-M 'P 4/m m m'
_symmetry_Int_Tables_number 123
_symmetry_space_group_name_Hall '-P 4 2'
loop_
_atom_site_label
_atom_site_fract_x
_atom_site_fract_y
_atom_site_fract_z
Li1 0.000 0.000 0.000
Sc1 0.000 0.500 0.500
Au1 0.500 0.500 0.000
O1 0.000 0.000 0.500

Record 8
# CrRu2Br PBE-GGA optimized geometry
# Spin magnetization (μB/cell): 3.7
# Energy relative to the lowest polymorph listed for this composition (eV/atom): 0.2626
data_CrRu2Br
_cell_length_a 2.934
_cell_length_b 4.521
_cell_length_c 9.081
_cell_angle_alpha 90.00
_cell_angle_beta 90.00
_cell_angle_gamma 90.00
_symmetry_space_group_name_H-M 'I m m m'
_symmetry_Int_Tables_number 71
_symmetry_space_group_name_Hall '-I 2 2'
loop_
_atom_site_label
_atom_site_fract_x
_atom_site_fract_y
_atom_site_fract_z
Cr1 0.000 0.000 0.000
Ru1 0.000 0.500 0.235
Br1 0.000 0.000 0.500

Record 9
# AcSb2Pd5Au PBE-GGA optimized geometry
# Spin magnetization (μB/cell): 0.0
# E_tot (eV for the cell shown): -44.7
data_AcSb2Pd5Au
_cell_length_a 4.878
_cell_length_b 4.878
_cell_length_c 8.254
_cell_angle_alpha 90.00
_cell_angle_beta 90.00
_cell_angle_gamma 90.00
_symmetry_space_group_name_H-M 'P 4/m m m'
_symmetry_Int_Tables_number 123
_symmetry_space_group_name_Hall '-P 4 2'
loop_
_atom_site_label
_atom_site_fract_x
_atom_site_fract_y
_atom_site_fract_z
Ac1 0.000 0.000 0.000
Sb1 0.500 0.500 0.332
Pd1 0.000 0.500 0.228
Pd2 0.500 0.500 0.000
Au1 0.000 0.000 0.500

Record 10
# LaMoN3 PBE-GGA optimized geometry
# Spin magnetization (μB/cell): 0.0
# E_tot (eV for the cell shown): -82.4
data_LaMoN3
_cell_length_a 4.0992
_cell_length_b 4.0992
_cell_length_c 8.4662
_cell_angle_alpha 90.00
_cell_angle_beta 90.00
_cell_angle_gamma 120.00
_symmetry_space_group_name_H-M 'P 63/m m c'
_symmetry_Int_Tables_number 194
_symmetry_space_group_name_Hall '-P 6c 2c'
loop_
_atom_site_label
_atom_site_fract_x
_atom_site_fract_y
_atom_site_fract_z
La1 0.3333 0.6667 0.2500
Mo1 0.0000 0.0000 0.0000
N1 0.0000 0.0000 0.2500
N2 0.3333 0.6667 0.5403

Record 11
# CaMg9Au3 PBE-GGA optimized geometry
# Spin magnetization (μB/cell): 0.0
# Formation energy from the elements (eV per formula unit): -4.40
data_CaMg9Au3
_cell_length_a 5.649
_cell_length_b 14.057
_cell_length_c 7.562
_cell_angle_alpha 90.00
_cell_angle_beta 111.93
_cell_angle_gamma 90.00
_symmetry_space_group_name_H-M 'C 1 2/m 1'
_symmetry_Int_Tables_number 12
loop_
_symmetry_equiv_pos_as_xyz
'x,y,z'
'-x,-y,-z'
'-x,y,-z'
'x,-y,z'
'x+1/2,y+1/2,z'
'-x+1/2,-y+1/2,-z'
'-x+1/2,y+1/2,-z'
'x+1/2,-y+1/2,z'
loop_
_atom_site_label
_atom_site_fract_x
_atom_site_fract_y
_atom_site_fract_z
Ca1 0.000 0.000 0.000
Mg1 0.000 0.500 0.500
Mg2 0.115 0.391 0.211
Mg3 0.162 0.177 0.336
Au1 0.000 0.000 0.500
Au2 0.250 0.250 0.000

Record 12
# Cs2Mg3Cl8 PBE-GGA optimized geometry
# Spin magnetization (μB/cell): 0.0
# E_tot (eV for the cell shown): -92.0
data_Cs2Mg3Cl8
_cell_length_a 16.566
_cell_length_b 7.702
_cell_length_c 6.622
_cell_angle_alpha 90.00
_cell_angle_beta 107.13
_cell_angle_gamma 90.00
_symmetry_space_group_name_H-M 'C 1 2/m 1'
_symmetry_Int_Tables_number 12
loop_
_symmetry_equiv_pos_as_xyz
'x,y,z'
'-x,-y,-z'
'-x,y,-z'
'x,-y,z'
'x+1/2,y+1/2,z'
'-x+1/2,-y+1/2,-z'
'-x+1/2,y+1/2,-z'
'x+1/2,-y+1/2,z'
loop_
_atom_site_label
_atom_site_fract_x
_atom_site_fract_y
_atom_site_fract_z
Cs1 0.234 0.000 0.175
Mg1 0.000 0.240 0.500
Mg2 0.000 0.500 0.000
Cl1 0.085 0.274 0.880
Cl2 0.088 0.500 0.393
Cl3 0.096 0.000 0.459

Record 13
# PHICl2 PBE-GGA optimized geometry
# Spin magnetization (μB/cell): 0.5
# Energy relative to the lowest polymorph listed for this composition (eV/atom): 0.0000
data_PHICl2
_cell_length_a 3.968
_cell_length_b 3.968
_cell_length_c 7.825
_cell_angle_alpha 90.00
_cell_angle_beta 90.00
_cell_angle_gamma 90.00
_symmetry_space_group_name_H-M 'P 4/m m m'
_symmetry_Int_Tables_number 123
_symmetry_space_group_name_Hall '-P 4 2'
loop_
_atom_site_label
_atom_site_fract_x
_atom_site_fract_y
_atom_site_fract_z
P1 0.000 0.000 0.000
H1 0.000 0.000 0.500
I1 0.500 0.500 0.000
Cl1 0.000 0.500 0.500

Record 14
# AlGaHg PBE-GGA optimized geometry
# Spin magnetization (μB/cell): 0.0
# Formation energy from the elements (eV per formula unit): 0.36
data_AlGaHg
_cell_length_a 5.427
_cell_length_b 4.379
_cell_length_c 10.816
_cell_angle_alpha 90.00
_cell_angle_beta 90.00
_cell_angle_gamma 90.00
_symmetry_space_group_name_H-M 'P n m a'
_symmetry_Int_Tables_number 62
loop_
_symmetry_equiv_pos_as_xyz
'x,y,z'
'-x,-y,-z'
'-x+1/2,-y,z+1/2'
'x+1/2,y,-z+1/2'
'x+1/2,-y+1/2,-z+1/2'
'-x+1/2,y+1/2,z+1/2'
'-x,y+1/2,-z'
'x,-y+1/2,z'
loop_
_atom_site_label
_atom_site_fract_x
_atom_site_fract_y
_atom_site_fract_z
Al1 0.110 0.250 0.203
Ga1 0.056 0.250 0.937
Hg1 0.037 0.250 0.625

Record 15
# TiSI2N PBE-GGA optimized geometry
# Spin magnetization (μB/cell): 0.6
# Energy relative to the lowest polymorph listed for this composition (eV/atom): 0.6550
data_TiSI2N
_cell_length_a 5.819
_cell_length_b 5.819
_cell_length_c 3.422
_cell_angle_alpha 90.00
_cell_angle_beta 90.00
_cell_angle_gamma 90.00
_symmetry_space_group_name_H-M 'P 4/m m m'
_symmetry_Int_Tables_number 123
_symmetry_space_group_name_Hall '-P 4 2'
loop_
_atom_site_label
_atom_site_fract_x
_atom_site_fract_y
_atom_site_fract_z
Ti1 0.000 0.000 0.000
S1 0.500 0.500 0.500
I1 0.000 0.500 0.500
N1 0.500 0.500 0.000

Record 16
# YSi3Os PBE-GGA optimized geometry
# Spin magnetization (μB/cell): 0.0
# E_tot (eV for the cell shown): -72.4
data_YSi3Os
_cell_length_a 5.910
_cell_length_b 5.605
_cell_length_c 5.660
_cell_angle_alpha 90.00
_cell_angle_beta 90.00
_cell_angle_gamma 90.00
_symmetry_space_group_name_H-M 'P m n 21'
_symmetry_Int_Tables_number 31
loop_
_symmetry_equiv_pos_as_xyz
'x,y,z'
'-x+1/2,-y,z+1/2'
'-x,y,z'
'x+1/2,-y,z+1/2'
loop_
_atom_site_label
_atom_site_fract_x
_atom_site_fract_y
_atom_site_fract_z
Y1 0.000 0.153 0.000
Si1 0.000 0.966 0.514
Si2 0.217 0.337 0.500
Os1 0.000 0.626 0.287

Record 17
# EuSc2Pt PBE-GGA optimized geometry
# Spin magnetization (μB/cell): 8.2
# Formation energy from the elements (eV per formula unit): -2.14
# Energy relative to the lowest polymorph listed for this composition (eV/atom): 0.0000
data_EuSc2Pt
_cell_length_a 3.393
_cell_length_b 3.393
_cell_length_c 8.485
_cell_angle_alpha 90.00
_cell_angle_beta 90.00
_cell_angle_gamma 90.00
_symmetry_space_group_name_H-M 'P 4/m m m'
_symmetry_Int_Tables_number 123
_symmetry_space_group_name_Hall '-P 4 2'
loop_
_atom_site_label
_atom_site_fract_x
_atom_site_fract_y
_atom_site_fract_z
Eu1 0.000 0.000 0.000
Sc1 0.500 0.500 0.320
Pt1 0.000 0.000 0.500

Record 18
# LiY4Bi4O12 PBE-GGA optimized geometry
# Spin magnetization (μB/cell): 0.7
# Energy relative to the lowest polymorph listed for this composition (eV/atom): 0.0000
data_LiY4Bi4O12
_cell_length_a 5.956
_cell_length_b 6.105
_cell_length_c 9.169
_cell_angle_alpha 92.14
_cell_angle_beta 90.19
_cell_angle_gamma 90.81
_symmetry_space_group_name_H-M 'P 1'
_symmetry_Int_Tables_number 1
loop_
_symmetry_equiv_pos_as_xyz
'x,y,z'
loop_
_atom_site_label
_atom_site_fract_x
_atom_site_fract_y
_atom_site_fract_z
Li1 0.000 0.000 0.000
Y1 0.093 0.210 0.359
Y2 0.170 0.303 0.806
Y3 0.596 0.740 0.869
Y4 0.624 0.730 0.316
Bi1 0.050 0.811 0.613
Bi2 0.116 0.618 0.137
Bi3 0.535 0.185 0.108
Bi4 0.647 0.304 0.610
O1 0.231 0.140 0.587
O2 0.336 0.956 0.265
O3 0.344 0.011 0.922
O4 0.371 0.448 0.289
O5 0.399 0.566 0.682
O6 0.401 0.471 0.978
O7 0.748 0.817 0.096
O8 0.824 0.974 0.448
O9 0.829 0.474 0.440
O10 0.869 0.509 0.767
O11 0.879 0.998 0.791
O12 0.980 0.274 0.115

Record 19
# YTa2TlFe PBE-GGA optimized geometry
# Spin magnetization (μB/cell): 0.0
# Formation energy from the elements (eV per formula unit): 2.53
data_YTa2TlFe
_cell_length_a 4.615
_cell_length_b 4.615
_cell_length_c 5.230
_cell_angle_alpha 90.00
_cell_angle_beta 90.00
_cell_angle_gamma 90.00
_symmetry_space_group_name_H-M 'P 4/m m m'
_symmetry_Int_Tables_number 123
_symmetry_space_group_name_Hall '-P 4 2'
loop_
_atom_site_label
_atom_site_fract_x
_atom_site_fract_y
_atom_site_fract_z
Y1 0.000 0.000 0.000
Ta1 0.000 0.500 0.500
Tl1 0.500 0.500 0.000
Fe1 0.000 0.000 0.500

Record 20
# Pu2CuAs4Rh3 PBE-GGA optimized geometry
# Spin magnetization (μB/cell): 10.3
# Formation energy from the elements (eV per formula unit): -6.18
data_Pu2CuAs4Rh3
_cell_length_a 4.300
_cell_length_b 4.300
_cell_length_c 9.882
_cell_angle_alpha 90.00
_cell_angle_beta 90.00
_cell_angle_gamma 90.00
_symmetry_space_group_name_H-M 'P -4 m 2'
_symmetry_Int_Tables_number 115
loop_
_symmetry_equiv_pos_as_xyz
'x,y,z'
'y,-x,-z'
'-x,-y,z'
'-y,x,-z'
'-x,y,z'
'-y,-x,-z'
'x,-y,z'
'y,x,-z'
loop_
_atom_site_label
_atom_site_fract_x
_atom_site_fract_y
_atom_site_fract_z
Pu1 0.000 0.500 0.249
Cu1 0.500 0.500 0.000
As1 0.000 0.000 0.500
As2 0.000 0.500 0.866
As3 0.500 0.500 0.500
Rh1 0.000 0.000 0.000
Rh2 0.000 0.500 0.621